Below is a relaxed structure of Ba3NaMo2O9, with properties calculated at the GGA+U level.

Lattice parameters (Å, degrees): 5.924 5.924 7.273 90.00 90.00 120.00
Element x y z (fractional)
Ba 0.000 0.000 0.000
Ba 0.333 0.667 0.668
Ba 0.667 0.333 0.332
Na 0.000 0.000 0.500
Mo 0.333 0.667 0.170
Mo 0.667 0.333 0.830
O 0.000 0.500 0.000
O 0.178 0.356 0.309
O 0.178 0.822 0.309
O 0.356 0.178 0.691
O 0.500 0.000 0.000
O 0.500 0.500 0.000
O 0.644 0.822 0.309
O 0.822 0.178 0.691
O 0.822 0.644 0.691

Results
E_tot = -99.69 eV/cell
theoretical density = 5.8 g/cm³
total magnetic moment = 1.00 μB per formula unit